Compound: TbMgSc2In4
Source: Alexandria
Functional: PBE
Structure: optimized geometry Values from VASP.

Results
As for the total moment: 0.000 μB/atom. The value obtained for the electronic total energy is -4.069 eV per atom. The formation energy comes out at -0.34 eV per atom. The value obtained for the density of states at the Fermi level is 0.5331 states/eV/atom.

```
&SYSTEM
  ibrav = 0, nat = 8, ntyp = 4
/
ATOMIC_SPECIES
Tb 158.93 Tb.upf
Mg 24.30 Mg.upf
Sc 44.96 Sc.upf
In 114.82 In.upf
CELL_PARAMETERS angstrom
2.542 1.468 8.537
-2.542 1.468 8.537
0.000 -2.935 8.537
ATOMIC_POSITIONS crystal
Tb 0.000 0.000 0.000
Mg 0.500 0.500 0.500
Sc 0.246 0.246 0.246
Sc 0.754 0.754 0.754
In 0.126 0.126 0.126
In 0.378 0.378 0.378
In 0.622 0.622 0.622
In 0.874 0.874 0.874
```